## LaTb3Pm6Nd2 (GGA-PBE)

Data for a relaxed structure of LaTb3Pm6Nd2.

Cell lengths 6.316, 10.943, 12.081 Å; angles 90.00, 100.07, 90.00 degrees
Space group C2/m (No. 12)
Inequivalent atoms, fractional coordinates:
La1 0.000 0.000 0.000 (multiplicity 2)
Tb1 0.000 0.167 0.500 (multiplicity 4)
Tb2 0.000 0.500 0.500 (multiplicity 2)
Pm1 0.248 0.333 0.746 (multiplicity 8)
Pm2 0.249 0.000 0.745 (multiplicity 4)
Nd1 0.000 0.334 0.000 (multiplicity 4)

## Properties
Its volume is 411.07 Å³/f.u. The size of the total moment is 0.000 μB/atom. The calculation puts the density of states at the Fermi level at 18.185 states/eV/f.u. Its calculated formation energy is 0.016 eV per atom.



## LiZrOs4 (GGA-PBE)

Data for a relaxed structure of LiZrOs4.

Cell lengths 7.343, 7.343, 7.343 Å; angles 90.00, 90.00, 90.00 degrees
Space group F-43m (No. 216)
Inequivalent atoms, fractional coordinates:
Li1 0.000 0.000 0.000 (multiplicity 4)
Zr1 0.250 0.250 0.750 (multiplicity 4)
Os1 0.125 0.125 0.375 (multiplicity 16)

## Properties
Its volume is 98.97 Å³/f.u. The size of the total moment is 0.000 μB/atom. The calculation puts the density of states at the Fermi level at 6.883 states/eV/f.u. Its calculated formation energy is 0.021 eV per atom.



## Pm6NdCd (GGA-PBE)

Data for a relaxed structure of Pm6NdCd.

Cell lengths 6.460, 6.464, 6.470 Å; angles 95.05, 95.12, 95.06 degrees
Space group P-1 (No. 2)
Inequivalent atoms, fractional coordinates:
Pm1 0.043 0.261 0.051 (multiplicity 2)
Pm2 0.239 0.950 0.456 (multiplicity 2)
Pm3 0.449 0.456 0.740 (multiplicity 2)
Nd1 0.500 0.000 0.000 (multiplicity 1)
Cd1 0.000 0.500 0.500 (multiplicity 1)

## Properties
Its volume is 266.76 Å³/f.u. As for the energy relative to the lowest polymorph listed for this composition: 66 meV/atom. The size of the total moment is 0.000 μB/atom. The calculation puts the density of states at the Fermi level at 10.715 states/eV/f.u. Its calculated formation energy is 0.033 eV per atom.



## CuNi2Sn (GGA-PBE)

Data for a relaxed structure of CuNi2Sn.

Cell lengths 3.731, 3.731, 17.290 Å; angles 90.00, 90.00, 90.00 degrees
Space group I-42d (No. 122)
Inequivalent atoms, fractional coordinates:
Cu1 0.000 0.000 0.000 (multiplicity 4)
Ni1 0.219 0.250 0.125 (multiplicity 8)
Sn1 0.000 0.000 0.500 (multiplicity 4)

## Properties
Its volume is 60.16 Å³/f.u. The size of the total moment is 0.000 μB/atom. The calculation puts the density of states at the Fermi level at 2.450 states/eV/f.u. Its calculated formation energy is 0.238 eV per atom.



## Ag2SbPb (GGA-PBE)

Data for a relaxed structure of Ag2SbPb.

Cell lengths 4.063, 4.411, 5.652 Å; angles 90.00, 108.50, 90.00 degrees
Space group Pm (No. 6)
Inequivalent atoms, fractional coordinates:
Ag1 0.000 0.000 0.000 (multiplicity 1)
Ag2 0.123 0.500 0.340 (multiplicity 1)
Sb1 0.449 0.500 0.892 (multiplicity 1)
Pb1 0.673 0.000 0.460 (multiplicity 1)

## Properties
Its volume is 96.06 Å³/f.u. The calculation puts the raw formation energy at 0.0933 eV/atom. The size of the total moment is 0.000 μB/atom. The calculation puts the density of states at the Fermi level at 2.025 states/eV/f.u.



## Al2SbCl (GGA-PBE)

Data for a relaxed structure of Al2SbCl.

Cell lengths 3.916, 5.073, 9.479 Å; angles 90.00, 90.00, 90.00 degrees
Space group Cmm2 (No. 35)
Inequivalent atoms, fractional coordinates:
Al1 0.000 0.000 0.000 (multiplicity 2)
Al2 0.000 0.500 0.203 (multiplicity 2)
Sb1 0.000 0.000 0.421 (multiplicity 2)
Cl1 0.000 0.500 0.827 (multiplicity 2)

## Properties
Its volume is 94.16 Å³/f.u. The calculation puts the raw formation energy at -0.1674 eV/atom. As for the energy relative to the lowest polymorph listed for this composition: 98 meV/atom. The size of the total moment is 0.000 μB/atom. The calculation puts the density of states at the Fermi level at 1.008 states/eV/f.u.